## Ba3LiTi5Sb3O21 (PBE)

Data for a relaxed Ba3LiTi5Sb3O21 crystal.

Unit cell a=15.933 b=9.164 c=11.780 alpha=90.00 beta=90.00 gamma=90.00
Space group Cmc2_1 (No. 36)
Unique sites:
1 Ba 0.000 0.100 0.000 x4
2 Ba 0.202 0.299 0.502 x8
3 Li 0.000 0.497 0.981 x4
4 Ti 0.000 0.242 0.337 x4
5 Ti 0.125 0.371 0.164 x8
6 Ti 0.130 0.380 0.846 x8
7 Sb 0.000 0.259 0.665 x4
8 Sb 0.167 0.002 0.750 x8
9 O 0.000 0.292 0.179 x4
10 O 0.000 0.297 0.498 x4
11 O 0.000 0.301 0.831 x4
12 O 0.083 0.097 0.351 x8
13 O 0.085 0.098 0.642 x8
14 O 0.101 0.396 0.677 x8
15 O 0.104 0.397 0.001 x8
16 O 0.104 0.399 0.323 x8
17 O 0.158 0.177 0.850 x8
18 O 0.159 0.173 0.149 x8
19 O 0.240 0.428 0.150 x8
20 O 0.244 0.428 0.856 x8

Calculated values
Raw formation energy ... -2.54 eV per atom
Total moment ... 0.000 μB per formula unit
Calculated density ... 5250 kg/m3